1.
Density functional theory data (PBE) for a relaxed MnSbRh2 crystal.

Cell lengths 4.6430, 4.6430, 4.6430 Å; angles 126.81, 126.77, 78.60 degrees
Closest atoms and distances in Å follow each position.
Sites, in units of the cell vectors:
Sb 0.7500 0.2500 0.5000  8 Rh 2.75, 4 Mn 2.94
Mn 0.2500 0.7500 0.5000  8 Rh 2.75, 4 Sb 2.94
Rh 0.0001 0.0001 0.0000  4 Mn 2.75, 4 Sb 2.75, 4 Rh 2.94
Rh 0.4999 0.4999 0.0000  4 Mn 2.75, 4 Sb 2.75, 4 Rh 2.94

## Properties
The value obtained for the raw total energy is -7.363 eV per atom. The uncorrected formation energy comes out at -364 meV/atom.

2.
Density functional theory data (PBE) for a relaxed TcP2IrI crystal.

Cell lengths 4.9504, 4.8299, 4.9504 Å; angles 90.00, 90.00, 90.00 degrees
Closest atoms and distances in Å follow each position.
Sites, in units of the cell vectors:
I 0.0000 0.0000 0.0000  2 Tc 2.41, 4 P 2.48
P 0.0000 0.0000 0.5000  2 I 2.48
P 0.5000 0.0000 0.0000  2 I 2.48
Ir 0.5000 0.5000 0.5000  8 P 3.46, 4 Tc 3.50
Tc 0.0000 0.5000 0.0000  2 I 2.41

## Properties
The value obtained for the raw total energy is -3.796 eV per atom. The uncorrected formation energy comes out at 2523 meV/atom.

3.
Density functional theory data (PBE) for a relaxed TePtCl crystal.

Cell lengths 4.6368, 4.6368, 4.6368 Å; angles 60.00, 60.00, 60.00 degrees
Closest atoms and distances in Å follow each position.
Sites, in units of the cell vectors:
Cl 0.5000 0.5000 0.5000  4 Pt 2.84
Pt 0.7500 0.7500 0.7500  4 Cl 2.84, 4 Te 2.84
Te 0.0000 0.0000 0.0000  4 Pt 2.84

## Properties
The value obtained for the raw total energy is -3.499 eV per atom. The uncorrected formation energy comes out at 177 meV/atom.

4.
Density functional theory data (PBE) for a relaxed BaTl7Pb5 crystal.

Cell lengths 6.7230, 8.7123, 8.7123 Å; angles 81.71, 67.34, 67.34 degrees
Closest atoms and distances in Å follow each position.
Sites, in units of the cell vectors:
Ba 0.0020 0.9986 0.9986  10 Tl 4.00-4.17, 10 Pb 4.08-4.37
Tl 0.6421 0.3542 0.3542  3 Tl 3.31-3.63, 4 Pb 3.51-3.53
Tl 0.3544 0.6462 0.6462  3 Tl 3.31-3.64, 4 Pb 3.50-3.51
Tl 0.9996 0.3571 0.6461  1 Tl 3.29, 4 Pb 3.48-3.54
Tl 0.9996 0.6461 0.3571  1 Tl 3.29, 4 Pb 3.48-3.54
Tl 0.2882 0.2103 0.2103  4 Pb 3.33-3.35, 5 Tl 3.44-3.72
Tl 0.5008 0.7828 0.2152  5 Pb 3.32-3.39, 4 Tl 3.44-3.71
Tl 0.5008 0.2152 0.7828  5 Pb 3.32-3.39, 4 Tl 3.44-3.71
Pb 0.5013 0.9980 0.4997  7 Tl 3.32-3.54, 3 Pb 3.35-3.37
Pb 0.0003 0.9993 0.4993  7 Tl 3.32-3.53, 3 Pb 3.34-3.37
Pb 0.5013 0.4997 0.9980  7 Tl 3.32-3.54, 3 Pb 3.35-3.37
Pb 0.0003 0.4993 0.9993  7 Tl 3.32-3.53, 3 Pb 3.34-3.37
Pb 0.7093 0.7933 0.7933  4 Pb 3.34-3.35, 4 Tl 3.39-3.70

## Properties
The value obtained for the raw total energy is -2.922 eV per atom. As for the formation energy: -0.074 eV/atom.

5.
Density functional theory data (PBE) for a relaxed Nd2Y3Tm8 crystal.

Cell lengths 5.4971, 7.5530, 11.0349 Å; angles 110.01, 90.02, 90.00 degrees
Closest atoms and distances in Å follow each position.
Sites, in units of the cell vectors:
Nd 0.4993 0.2404 0.4808  8 Tm 3.42-3.59, 2 Nd 3.80
Nd 0.5007 0.7596 0.5192  8 Tm 3.42-3.59, 2 Nd 3.80
Y 0.5000 0.0000 0.0000  4 Tm 3.12
Y 0.0000 0.2858 0.0000  3 Y 3.24-3.49, 6 Tm 3.44-3.55
Y 0.0000 0.7142 0.0000  3 Y 3.24-3.49, 6 Tm 3.44-3.55
Tm 0.0004 0.6615 0.3229  4 Tm 3.37, 2 Nd 3.42, 2 Y 3.72
Tm 0.9996 0.3385 0.6771  4 Tm 3.37, 2 Nd 3.42, 2 Y 3.72
Tm 0.9998 0.1290 0.2580  4 Y 3.44-3.84, 6 Tm 3.52-3.84, 2 Nd 3.59
Tm 0.0002 0.8710 0.7420  4 Y 3.44-3.84, 6 Tm 3.52-3.84, 2 Nd 3.59
Tm 0.4999 0.6057 0.7835  1 Y 3.12, 3 Tm 3.23-3.37, 1 Nd 3.49
Tm 0.4999 0.1778 0.7835  1 Y 3.12, 3 Tm 3.23-3.37, 1 Nd 3.49
Tm 0.5001 0.8222 0.2165  1 Y 3.12, 3 Tm 3.23-3.37, 1 Nd 3.49
Tm 0.5001 0.3943 0.2165  1 Y 3.12, 3 Tm 3.23-3.37, 1 Nd 3.49

## Properties
The value obtained for the raw total energy is -4.724 eV per atom. As for the formation energy: 0.253 eV/atom.

6.
Density functional theory data (PBE) for a relaxed Ba5Cd crystal.

Cell lengths 7.7292, 7.7292, 7.3417 Å; angles 90.00, 90.00, 120.00 degrees
Closest atoms and distances in Å follow each position.
Sites, in units of the cell vectors:
Ba 0.3333 0.6667 0.0000  9 Ba 4.30-4.46, 3 Cd 4.46
Ba 0.6667 0.3333 0.0000  9 Ba 4.30-4.46, 3 Cd 4.46
Ba 0.5000 0.0000 0.5000  8 Ba 3.86-4.30
Ba 0.0000 0.5000 0.5000  8 Ba 3.86-4.30
Ba 0.5000 0.5000 0.5000  8 Ba 3.86-4.30
Cd 0.0000 0.0000 0.0000  6 Ba 4.46

## Properties
The value obtained for the raw total energy is -1.400 eV per atom. For the energy above the most stable polymorph in this dataset, the calculation gives 42.95 kJ per mole of atoms. As for the formation energy: 0.355 eV/atom.